Record 1
# SrCoS2

A geometry-optimized SrCoS2 structure (PBE, Alexandria).

a b c (Å): 6.7700 6.7700 6.7700
angles (deg): 90.00 90.00 90.00
Space group Fm-3m (No. 225)
One atom of each set of equivalent atoms:
1 Sr 0.0000 0.0000 0.0000 x4
2 Co 0.0000 0.0000 0.5000 x4
3 S 0.2500 0.2500 0.2500 x8

total moment = 12.0 μB/cell
energy = -76.5 eV per cell
ΔE_f (raw) = -0.52 eV/atom
energy relative to the lowest polymorph listed for this composition = 537 meV/atom



Record 2
# SrCo3S

A geometry-optimized SrCo3S structure (PBE, Alexandria).

a b c (Å): 4.7791 4.7791 4.7791
angles (deg): 90.00 90.00 90.00
Space group Pm-3m (No. 221)
One atom of each set of equivalent atoms:
1 Sr 0.0000 0.0000 0.0000 x1
2 Co 0.0000 0.0000 0.5000 x3
3 S 0.5000 0.5000 0.5000 x1

total moment = 4.2 μB/cell
energy = -15.8 eV per cell
ΔE_f (raw) = 2.26 eV/atom
energy relative to the lowest polymorph listed for this composition = 2215 meV/atom



Record 3
# SrCoS2

A geometry-optimized SrCoS2 structure (PBE, Alexandria).

a b c (Å): 6.8927 6.8927 6.8303
angles (deg): 90.00 90.00 90.00
Space group I-42d (No. 122)
One atom of each set of equivalent atoms:
1 Sr 0.0000 0.0000 0.0000 x4
2 Co 0.0000 0.0000 0.5000 x4
3 S 0.1517 0.2500 0.6250 x8

total moment = 5.5 μB/cell
energy = -85.1 eV per cell
ΔE_f (raw) = -1.06 eV/atom
energy relative to the lowest polymorph listed for this composition = 0 meV/atom



Record 4
# Sr2CoS

A geometry-optimized Sr2CoS structure (PBE, Alexandria).

a b c (Å): 7.8035 7.8035 8.1473
angles (deg): 90.00 90.00 90.00
Space group I-42d (No. 122)
One atom of each set of equivalent atoms:
1 Sr 0.2369 0.2500 0.1250 x8
2 Co 0.0000 0.0000 0.5000 x4
3 S 0.0000 0.0000 0.0000 x4

total moment = 4.0 μB/cell
energy = -63.2 eV per cell
ΔE_f (raw) = -0.30 eV/atom



Record 5
# SrCoS2

A geometry-optimized SrCoS2 structure (PBE, Alexandria).

a b c (Å): 4.5258 4.5258 21.3235
angles (deg): 90.00 90.00 120.00
Space group R-3m (No. 166, hexagonal axes)
One atom of each set of equivalent atoms:
1 Sr 0.0000 0.0000 0.0000 x3
2 Co 0.0000 0.0000 0.5000 x3
3 S 0.0000 0.0000 0.4014 x6

total moment = 9.0 μB/cell
energy = -59.6 eV per cell
ΔE_f (raw) = -0.70 eV/atom
energy relative to the lowest polymorph listed for this composition = 353 meV/atom



Record 6
# SrTaCoS2

A geometry-optimized SrTaCoS2 structure (PBE, Alexandria).

a b c (Å): 5.5200 5.5200 6.0229
angles (deg): 90.00 90.00 90.00
Space group P4/mmm (No. 123)
One atom of each set of equivalent atoms:
1 Sr 0.0000 0.0000 0.0000 x1
2 Ta 0.0000 0.0000 0.5000 x1
3 Co 0.5000 0.5000 0.5000 x1
4 S 0.0000 0.5000 0.0000 x2

total moment = 0.2 μB/cell
energy = -18.9 eV per cell
ΔE_f (raw) = 2.00 eV/atom



Record 7
# Sr2CoTeS

A geometry-optimized Sr2CoTeS structure (PBE, Alexandria).

a b c (Å): 5.8206 5.8206 4.1711
angles (deg): 90.00 90.00 90.00
Space group P4/mmm (No. 123)
One atom of each set of equivalent atoms:
1 Sr 0.0000 0.5000 0.0000 x2
2 Co 0.0000 0.0000 0.5000 x1
3 Te 0.5000 0.5000 0.5000 x1
4 S 0.0000 0.0000 0.0000 x1

total moment = 1.0 μB/cell
energy = -22.9 eV per cell
ΔE_f (raw) = -1.04 eV/atom



Record 8
# SrTiCo2S

A geometry-optimized SrTiCo2S structure (PBE, Alexandria).

a b c (Å): 4.4731 4.4731 4.8862
angles (deg): 90.00 90.00 90.00
Space group P4/mmm (No. 123)
One atom of each set of equivalent atoms:
1 Sr 0.0000 0.0000 0.0000 x1
2 Ti 0.5000 0.5000 0.5000 x1
3 Co 0.0000 0.5000 0.5000 x2
4 S 0.5000 0.5000 0.0000 x1

total moment = 1.4 μB/cell
energy = -27.8 eV per cell
ΔE_f (raw) = 0.02 eV/atom



Record 9
# Sr2UCoS5

A geometry-optimized Sr2UCoS5 structure (PBE, Alexandria).

a b c (Å): 3.9826 17.1181 12.3995
angles (deg): 90.00 90.00 90.00
Space group Cmc2_1 (No. 36)
One atom of each set of equivalent atoms:
1 Sr 0.0000 0.1148 0.0000 x4
2 Sr 0.0000 0.1150 0.3541 x4
3 U 0.0000 0.1940 0.6844 x4
4 Co 0.0000 0.4361 0.0954 x4
5 S 0.0000 0.0417 0.6773 x4
6 S 0.0000 0.3016 0.3320 x4
7 S 0.0000 0.3085 0.0374 x4
8 S 0.0000 0.3473 0.6767 x4
9 S 0.0000 0.4972 0.9351 x4

total moment = 14.2 μB/cell
energy = -222.6 eV per cell
ΔE_f (raw) = -1.47 eV/atom



Record 10
# Sr2UCoS6

A geometry-optimized Sr2UCoS6 structure (PBE, Alexandria).

a b c (Å): 6.7046 6.8670 11.5834
angles (deg): 90.00 124.57 90.00
Space group P2_1/c (No. 14)
One atom of each set of equivalent atoms:
1 Sr 0.2295 0.0615 0.2461 x4
2 U 0.5000 0.0000 0.0000 x2
3 Co 0.0000 0.0000 0.5000 x2
4 S 0.1564 0.2181 0.9626 x4
5 S 0.2443 0.6950 0.9629 x4
6 S 0.3093 0.0041 0.7364 x4

total moment = 2.0 μB/cell
energy = -119.7 eV per cell
ΔE_f (raw) = -1.33 eV/atom



Record 11
# SrUCoS4

A geometry-optimized SrUCoS4 structure (PBE, Alexandria).

a b c (Å): 6.4709 5.6995 8.1661
angles (deg): 90.00 106.06 90.00
Space group P2_1/m (No. 11)
One atom of each set of equivalent atoms:
1 Sr 0.2378 0.2500 0.4399 x2
2 U 0.2429 0.2500 0.9437 x2
3 Co 0.2654 0.7500 0.1631 x2
4 S 0.0670 0.7500 0.3498 x2
5 S 0.0720 0.7500 0.9029 x2
6 S 0.4822 0.5101 0.7726 x4

total moment = 0.4 μB/cell
energy = -90.9 eV per cell
ΔE_f (raw) = -1.27 eV/atom